# Sc3Cu8Ag

An optimized crystal structure of Sc3Cu8Ag (PBE, Alexandria).

Calculated values
E_form: -219.4 meV per atom
Symmetry: P3m1 (156)
Final energy: -57.25 eV for the cell shown
Spin magnetization: 0.00 μB per formula unit

abc: 5.022 5.022 8.137
angles: 90.00 90.00 120.00
Fractional coordinates of all 12 atoms:
Cu 0.998 0.499 0.752
Cu 0.164 0.328 0.249
Cu 0.501 0.002 0.752
Cu 0.501 0.499 0.752
Cu 0.672 0.836 0.249
Cu 0.164 0.836 0.249
Cu 0.333 0.667 0.004
Cu 0.333 0.667 0.501
Sc 0.667 0.333 0.457
Sc 0.667 0.333 0.067
Sc 0.000 0.000 0.915
Ag 0.000 0.000 0.555